Entry 1:
# GGA-PBE LiDyTh2N4, relaxed
data_LiDyTh2N4
_chemical_formula_sum 'Li4 Dy4 Th8 N16'
_space_group_name_H-M_alt 'C m c m'
_space_group_IT_number 63
_space_group_name_Hall '-C 2c 2'
_cell_length_a 3.6009
_cell_length_b 11.6655
_cell_length_c 11.8249
_cell_angle_alpha 90.00
_cell_angle_beta 90.00
_cell_angle_gamma 90.00
loop_
_atom_site_label
_atom_site_type_symbol
_atom_site_fract_x
_atom_site_fract_y
_atom_site_fract_z
Li1 Li 0.0000 0.1625 0.2500
Dy1 Dy 0.0000 0.1008 0.7500
Th1 Th 0.0000 0.3687 0.5613
N1 N 0.0000 0.0000 0.0000
N2 N 0.0000 0.2622 0.1164
N3 N 0.0000 0.4635 0.7500
# E_form (uncorrected): -1.3003 eV/atom

***

Entry 2:
# GGA-PBE LiDy3U3N8, relaxed
data_LiDy3U3N8
_chemical_formula_sum 'Li3 Dy9 U9 N24'
_space_group_name_H-M_alt 'R -3 m'
_space_group_IT_number 166
_space_group_name_Hall '-R 3 2"'
_cell_length_a 6.7787
_cell_length_b 6.7787
_cell_length_c 16.4724
_cell_angle_alpha 90.00
_cell_angle_beta 90.00
_cell_angle_gamma 120.00
loop_
_atom_site_label
_atom_site_type_symbol
_atom_site_fract_x
_atom_site_fract_y
_atom_site_fract_z
Li1 Li 0.0000 0.0000 0.0000
Dy1 Dy 0.0000 0.5000 0.5000
U1 U 0.0000 0.5000 0.0000
N1 N 0.0000 0.0000 0.2516
N2 N 0.0109 0.5054 0.2626
# N(E_F): 33.44 states/eV per cell
# E_form (uncorrected): -1.1856 eV/atom

***

Entry 3:
# GGA-PBE LiDy2UN4, relaxed
data_LiDy2UN4
_chemical_formula_sum 'Li1 Dy2 U1 N4'
_space_group_name_H-M_alt 'P 1 2/m 1'
_space_group_IT_number 10
_cell_length_a 5.7411
_cell_length_b 3.4982
_cell_length_c 5.8199
_cell_angle_alpha 90.00
_cell_angle_beta 106.43
_cell_angle_gamma 90.00
loop_
_space_group_symop_operation_xyz
'x,y,z'
'-x,-y,-z'
'-x,y,-z'
'x,-y,z'
loop_
_atom_site_label
_atom_site_type_symbol
_atom_site_fract_x
_atom_site_fract_y
_atom_site_fract_z
Li1 Li 0.0000 0.0000 0.0000
Dy1 Dy 0.0000 0.5000 0.5000
Dy2 Dy 0.5000 0.0000 0.5000
U1 U 0.5000 0.5000 0.0000
N1 N 0.2528 0.0000 0.7549
N2 N 0.2929 0.5000 0.2429
# N(E_F): 4.90 states/eV per cell
# E_form (uncorrected): -1.3304 eV/atom

***

Entry 4:
# GGA-PBE LiDyU2N4, relaxed
data_LiDyU2N4
_chemical_formula_sum 'Li1 Dy1 U2 N4'
_space_group_name_H-M_alt 'P 1 2/m 1'
_space_group_IT_number 10
_cell_length_a 5.8709
_cell_length_b 3.4755
_cell_length_c 5.9359
_cell_angle_alpha 90.00
_cell_angle_beta 108.68
_cell_angle_gamma 90.00
loop_
_space_group_symop_operation_xyz
'x,y,z'
'-x,-y,-z'
'-x,y,-z'
'x,-y,z'
loop_
_atom_site_label
_atom_site_type_symbol
_atom_site_fract_x
_atom_site_fract_y
_atom_site_fract_z
Li1 Li 0.0000 0.0000 0.0000
Dy1 Dy 0.0000 0.5000 0.5000
U1 U 0.5000 0.0000 0.5000
U2 U 0.5000 0.5000 0.0000
N1 N 0.2659 0.0000 0.7510
N2 N 0.2927 0.5000 0.2778
# N(E_F): 7.97 states/eV per cell
# E_form (uncorrected): -1.2427 eV/atom

***

Entry 5:
# GGA-PBE LiDy2Zr3N6, relaxed
data_LiDy2Zr3N6
_chemical_formula_sum 'Li2 Dy4 Zr6 N12'
_space_group_name_H-M_alt 'C 1 2/m 1'
_space_group_IT_number 12
_cell_length_a 14.4533
_cell_length_b 3.3125
_cell_length_c 6.7081
_cell_angle_alpha 90.00
_cell_angle_beta 104.49
_cell_angle_gamma 90.00
loop_
_space_group_symop_operation_xyz
'x,y,z'
'-x,-y,-z'
'-x,y,-z'
'x,-y,z'
'x+1/2,y+1/2,z'
'-x+1/2,-y+1/2,-z'
'-x+1/2,y+1/2,-z'
'x+1/2,-y+1/2,z'
loop_
_atom_site_label
_atom_site_type_symbol
_atom_site_fract_x
_atom_site_fract_y
_atom_site_fract_z
Li1 Li 0.0000 0.0000 0.0000
Dy1 Dy 0.1619 0.5000 0.3224
Zr1 Zr 0.0000 0.0000 0.5000
Zr2 Zr 0.1606 0.5000 0.8359
N1 N 0.0054 0.5000 0.7298
N2 N 0.1630 0.0000 0.5920
N3 N 0.1707 0.0000 0.0716
# N(E_F): 2.81 states/eV per cell
# E_form (uncorrected): -1.5748 eV/atom

***

Entry 6:
# GGA-PBE NaLi4Dy, relaxed
data_NaLi4Dy
_chemical_formula_sum 'Na4 Li16 Dy4'
_space_group_name_H-M_alt 'F -4 3 m'
_space_group_IT_number 216
_space_group_name_Hall 'F -4 2 3'
_cell_length_a 8.3549
_cell_length_b 8.3549
_cell_length_c 8.3549
_cell_angle_alpha 90.00
_cell_angle_beta 90.00
_cell_angle_gamma 90.00
loop_
_atom_site_label
_atom_site_type_symbol
_atom_site_fract_x
_atom_site_fract_y
_atom_site_fract_z
Na1 Na 0.0000 0.0000 0.0000
Li1 Li 0.1248 0.1248 0.6248
Dy1 Dy 0.2500 0.2500 0.2500
# N(E_F): 14.41 states/eV per cell
# calculated formation energy: 3.916 kcal/mol of atoms

***

Entry 7:
# GGA-PBE NaLi2Dy, relaxed
data_NaLi2Dy
_chemical_formula_sum 'Na3 Li6 Dy3'
_space_group_name_H-M_alt 'R -3 m'
_space_group_IT_number 166
_space_group_name_Hall '-R 3 2"'
_cell_length_a 3.2918
_cell_length_b 3.2918
_cell_length_c 35.9275
_cell_angle_alpha 90.00
_cell_angle_beta 90.00
_cell_angle_gamma 120.00
loop_
_atom_site_label
_atom_site_type_symbol
_atom_site_fract_x
_atom_site_fract_y
_atom_site_fract_z
Na1 Na 0.0000 0.0000 0.0000
Li1 Li 0.0000 0.0000 0.4143
Dy1 Dy 0.0000 0.0000 0.5000
# ΔE to the lowest computed polymorph: 5.68 kJ per mole of atoms
# N(E_F): 8.73 states/eV per cell
# calculated formation energy: 4.923 kcal/mol of atoms

***

Entry 8:
# GGA-PBE NaLi2Dy, relaxed
data_NaLi2Dy
_chemical_formula_sum 'Na1 Li2 Dy1'
_space_group_name_H-M_alt 'P 4/m m m'
_space_group_IT_number 123
_space_group_name_Hall '-P 4 2'
_cell_length_a 3.4453
_cell_length_b 3.4453
_cell_length_c 8.9768
_cell_angle_alpha 90.00
_cell_angle_beta 90.00
_cell_angle_gamma 90.00
loop_
_atom_site_label
_atom_site_type_symbol
_atom_site_fract_x
_atom_site_fract_y
_atom_site_fract_z
Na1 Na 0.0000 0.0000 0.0000
Li1 Li 0.5000 0.5000 0.2461
Dy1 Dy 0.0000 0.0000 0.5000
# ΔE to the lowest computed polymorph: 0.00 kJ per mole of atoms
# N(E_F): 3.84 states/eV per cell
# calculated formation energy: 3.567 kcal/mol of atoms

***

Entry 9:
# GGA-PBE NaLiDy, relaxed
data_NaLiDy
_chemical_formula_sum 'Na1 Li1 Dy1'
_space_group_name_H-M_alt 'P 3 m 1'
_space_group_IT_number 156
_cell_length_a 3.4129
_cell_length_b 3.4129
_cell_length_c 8.7159
_cell_angle_alpha 90.00
_cell_angle_beta 90.00
_cell_angle_gamma 120.00
loop_
_space_group_symop_operation_xyz
'x,y,z'
'-y,x-y,z'
'-x+y,-x,z'
'-y,-x,z'
'-x+y,y,z'
'x,x-y,z'
loop_
_atom_site_label
_atom_site_type_symbol
_atom_site_fract_x
_atom_site_fract_y
_atom_site_fract_z
Na1 Na 0.0000 0.0000 0.0000
Li1 Li 0.3333 0.6667 0.6677
Dy1 Dy 0.6667 0.3333 0.3608
# ΔE to the lowest computed polymorph: 0.00 kJ per mole of atoms
# N(E_F): 2.27 states/eV per cell
# calculated formation energy: 3.720 kcal/mol of atoms

***

Entry 10:
# GGA-PBE NaLiDy, relaxed
data_NaLiDy
_chemical_formula_sum 'Na2 Li2 Dy2'
_space_group_name_H-M_alt 'P -1'
_space_group_IT_number 2
_cell_length_a 3.4029
_cell_length_b 5.7895
_cell_length_c 8.9846
_cell_angle_alpha 103.93
_cell_angle_beta 90.40
_cell_angle_gamma 90.01
loop_
_space_group_symop_operation_xyz
'x,y,z'
'-x,-y,-z'
loop_
_atom_site_label
_atom_site_type_symbol
_atom_site_fract_x
_atom_site_fract_y
_atom_site_fract_z
Na1 Na 0.2465 0.2280 0.4427
Li1 Li 0.2489 0.8812 0.8765
Dy1 Dy 0.2532 0.6269 0.1639
# ΔE to the lowest computed polymorph: 2.29 kJ per mole of atoms
# N(E_F): 5.35 states/eV per cell
# calculated formation energy: 4.266 kcal/mol of atoms

***

Entry 11:
# GGA-PBE Na2LiDy3Se6, relaxed
data_Na2LiDy3Se6
_chemical_formula_sum 'Na4 Li2 Dy6 Se12'
_space_group_name_H-M_alt 'C 1 2/m 1'
_space_group_IT_number 12
_cell_length_a 7.1449
_cell_length_b 12.3753
_cell_length_c 7.2442
_cell_angle_alpha 90.00
_cell_angle_beta 109.19
_cell_angle_gamma 90.00
loop_
_space_group_symop_operation_xyz
'x,y,z'
'-x,-y,-z'
'-x,y,-z'
'x,-y,z'
'x+1/2,y+1/2,z'
'-x+1/2,-y+1/2,-z'
'-x+1/2,y+1/2,-z'
'x+1/2,-y+1/2,z'
loop_
_atom_site_label
_atom_site_type_symbol
_atom_site_fract_x
_atom_site_fract_y
_atom_site_fract_z
Na1 Na 0.0000 0.1661 0.0000
Li1 Li 0.0000 0.5000 0.0000
Dy1 Dy 0.0000 0.0000 0.5000
Dy2 Dy 0.0000 0.3327 0.5000
Se1 Se 0.2402 0.5000 0.7365
Se2 Se 0.2480 0.1642 0.7365
# N(E_F): 0.00 states/eV per cell
# E_form (uncorrected): -1.6968 eV/atom

***

Entry 12:
# GGA-PBE NaLiDySn, relaxed
data_NaLiDySn
_chemical_formula_sum 'Na4 Li4 Dy4 Sn4'
_space_group_name_H-M_alt 'F -4 3 m'
_space_group_IT_number 216
_space_group_name_Hall 'F -4 2 3'
_cell_length_a 7.3591
_cell_length_b 7.3591
_cell_length_c 7.3591
_cell_angle_alpha 90.00
_cell_angle_beta 90.00
_cell_angle_gamma 90.00
loop_
_atom_site_label
_atom_site_type_symbol
_atom_site_fract_x
_atom_site_fract_y
_atom_site_fract_z
Na1 Na 0.0000 0.0000 0.0000
Li1 Li 0.2500 0.2500 0.7500
Dy1 Dy 0.0000 0.0000 0.5000
Sn1 Sn 0.2500 0.2500 0.2500
# N(E_F): 10.67 states/eV per cell
# calculated formation energy: -5.974 kcal/mol of atoms

***

Entry 13:
# GGA-PBE LiDy2NbO6, relaxed
data_LiDy2NbO6
_chemical_formula_sum 'Li3 Dy6 Nb3 O18'
_space_group_name_H-M_alt 'R 3'
_space_group_IT_number 146
_space_group_name_Hall 'R 3'
_cell_length_a 5.5773
_cell_length_b 5.5773
_cell_length_c 15.1006
_cell_angle_alpha 90.00
_cell_angle_beta 90.00
_cell_angle_gamma 120.00
loop_
_atom_site_label
_atom_site_type_symbol
_atom_site_fract_x
_atom_site_fract_y
_atom_site_fract_z
Li1 Li 0.0000 0.0000 0.0000
Dy1 Dy 0.0000 0.0000 0.2535
Dy2 Dy 0.0000 0.0000 0.7513
Nb1 Nb 0.0000 0.0000 0.4594
O1 O 0.0090 0.3715 0.1846
O2 O 0.0566 0.6777 0.0306
# N(E_F): 0.00 states/eV per cell
# E_form (uncorrected): -3.0184 eV/atom

***

Entry 14:
# GGA-PBE LiDyNbOs, relaxed
data_LiDyNbOs
_chemical_formula_sum 'Li4 Dy4 Nb4 Os4'
_space_group_name_H-M_alt 'F -4 3 m'
_space_group_IT_number 216
_space_group_name_Hall 'F -4 2 3'
_cell_length_a 6.6116
_cell_length_b 6.6116
_cell_length_c 6.6116
_cell_angle_alpha 90.00
_cell_angle_beta 90.00
_cell_angle_gamma 90.00
loop_
_atom_site_label
_atom_site_type_symbol
_atom_site_fract_x
_atom_site_fract_y
_atom_site_fract_z
Li1 Li 0.0000 0.0000 0.0000
Dy1 Dy 0.2500 0.2500 0.2500
Nb1 Nb 0.2500 0.2500 0.7500
Os1 Os 0.0000 0.0000 0.5000
# N(E_F): 7.81 states/eV per cell
# calculated formation energy: -0.966 kcal/mol of atoms

***

Entry 15:
# GGA-PBE Li3Dy3NbS8, relaxed
data_Li3Dy3NbS8
_chemical_formula_sum 'Li9 Dy9 Nb3 S24'
_space_group_name_H-M_alt 'R -3 m'
_space_group_IT_number 166
_space_group_name_Hall '-R 3 2"'
_cell_length_a 7.6864
_cell_length_b 7.6864
_cell_length_c 18.5254
_cell_angle_alpha 90.00
_cell_angle_beta 90.00
_cell_angle_gamma 120.00
loop_
_atom_site_label
_atom_site_type_symbol
_atom_site_fract_x
_atom_site_fract_y
_atom_site_fract_z
Li1 Li 0.0000 0.5000 0.0000
Dy1 Dy 0.0000 0.5000 0.5000
Nb1 Nb 0.0000 0.0000 0.5000
S1 S 0.0000 0.0000 0.2512
S2 S 0.0231 0.5115 0.2465
# N(E_F): 12.56 states/eV per cell
# E_form (uncorrected): -1.6308 eV/atom

***

Entry 16:
# GGA-PBE LiDyThNb, relaxed
data_LiDyThNb
_chemical_formula_sum 'Li4 Dy4 Th4 Nb4'
_space_group_name_H-M_alt 'F -4 3 m'
_space_group_IT_number 216
_space_group_name_Hall 'F -4 2 3'
_cell_length_a 7.2593
_cell_length_b 7.2593
_cell_length_c 7.2593
_cell_angle_alpha 90.00
_cell_angle_beta 90.00
_cell_angle_gamma 90.00
loop_
_atom_site_label
_atom_site_type_symbol
_atom_site_fract_x
_atom_site_fract_y
_atom_site_fract_z
Li1 Li 0.0000 0.0000 0.0000
Dy1 Dy 0.2500 0.2500 0.2500
Th1 Th 0.2500 0.2500 0.7500
Nb1 Nb 0.0000 0.0000 0.5000
# N(E_F): 29.17 states/eV per cell
# calculated formation energy: 5.005 kcal/mol of atoms

***

Entry 17:
# GGA-PBE Li2NdDy, relaxed
data_Li2NdDy
_chemical_formula_sum 'Li6 Nd3 Dy3'
_space_group_name_H-M_alt 'R -3 m'
_space_group_IT_number 166
_space_group_name_Hall '-R 3 2"'
_cell_length_a 3.3552
_cell_length_b 3.3552
_cell_length_c 35.7957
_cell_angle_alpha 90.00
_cell_angle_beta 90.00
_cell_angle_gamma 120.00
loop_
_atom_site_label
_atom_site_type_symbol
_atom_site_fract_x
_atom_site_fract_y
_atom_site_fract_z
Li1 Li 0.0000 0.0000 0.0874
Nd1 Nd 0.0000 0.0000 0.5000
Dy1 Dy 0.0000 0.0000 0.0000
# ΔE to the lowest computed polymorph: 12.57 kJ per mole of atoms
# N(E_F): 10.65 states/eV per cell
# calculated formation energy: 6.504 kcal/mol of atoms

***

Entry 18:
# GGA-PBE Li2NdDy, relaxed
data_Li2NdDy
_chemical_formula_sum 'Li2 Nd1 Dy1'
_space_group_name_H-M_alt 'P 4/m m m'
_space_group_IT_number 123
_space_group_name_Hall '-P 4 2'
_cell_length_a 3.7575
_cell_length_b 3.7575
_cell_length_c 7.5714
_cell_angle_alpha 90.00
_cell_angle_beta 90.00
_cell_angle_gamma 90.00
loop_
_atom_site_label
_atom_site_type_symbol
_atom_site_fract_x
_atom_site_fract_y
_atom_site_fract_z
Li1 Li 0.0000 0.0000 0.2443
Nd1 Nd 0.5000 0.5000 0.5000
Dy1 Dy 0.5000 0.5000 0.0000
# ΔE to the lowest computed polymorph: 0.00 kJ per mole of atoms
# N(E_F): 5.03 states/eV per cell
# calculated formation energy: 3.499 kcal/mol of atoms

***

Entry 19:
# GGA-PBE LiNd5Dy4, relaxed
data_LiNd5Dy4
_chemical_formula_sum 'Li1 Nd5 Dy4'
_space_group_name_H-M_alt 'P 4/m m m'
_space_group_IT_number 123
_space_group_name_Hall '-P 4 2'
_cell_length_a 3.6243
_cell_length_b 3.6243
_cell_length_c 24.5868
_cell_angle_alpha 90.00
_cell_angle_beta 90.00
_cell_angle_gamma 90.00
loop_
_atom_site_label
_atom_site_type_symbol
_atom_site_fract_x
_atom_site_fract_y
_atom_site_fract_z
Li1 Li 0.0000 0.0000 0.0000
Nd1 Nd 0.5000 0.5000 0.0880
Nd2 Nd 0.5000 0.5000 0.2934
Nd3 Nd 0.5000 0.5000 0.5000
Dy1 Dy 0.0000 0.0000 0.1896
Dy2 Dy 0.0000 0.0000 0.3966
# N(E_F): 13.85 states/eV per cell
# calculated formation energy: 0.795 kcal/mol of atoms

***

Entry 20:
# GGA-PBE LiNdDy2, relaxed
data_LiNdDy2
_chemical_formula_sum 'Li1 Nd1 Dy2'
_space_group_name_H-M_alt 'P 4/m m m'
_space_group_IT_number 123
_space_group_name_Hall '-P 4 2'
_cell_length_a 5.6926
_cell_length_b 5.6926
_cell_length_c 3.7018
_cell_angle_alpha 90.00
_cell_angle_beta 90.00
_cell_angle_gamma 90.00
loop_
_atom_site_label
_atom_site_type_symbol
_atom_site_fract_x
_atom_site_fract_y
_atom_site_fract_z
Li1 Li 0.0000 0.0000 0.0000
Nd1 Nd 0.5000 0.5000 0.0000
Dy1 Dy 0.0000 0.5000 0.5000
# ΔE to the lowest computed polymorph: 9.50 kJ per mole of atoms
# N(E_F): 5.99 states/eV per cell
# calculated formation energy: 4.041 kcal/mol of atoms

***

| no. | spin magnetization (μB per formula unit) |
| --- | --- |
| 1 | 0.000 |
| 2 | 2.580 |
| 3 | 0.775 |
| 4 | 3.292 |
| 5 | 0.000 |
| 6 | 1.289 |
| 7 | 0.000 |
| 8 | 0.000 |
| 9 | 0.000 |
| 10 | 0.000 |
| 11 | 0.000 |
| 12 | 0.000 |
| 13 | 0.000 |
| 14 | 0.000 |
| 15 | 1.004 |
| 16 | 0.001 |
| 17 | 0.000 |
| 18 | 0.000 |
| 19 | 0.000 |
| 20 | 0.001 |